Entry 1:
## CdInF2 (PBE)

Data for CdInF2 after structural relaxation.

a = 6.0874 Å, b = 6.0874 Å, c = 10.0326 Å
α = 90.00°, β = 90.00°, γ = 90.00°
Space group I-42d (No. 122)
Symmetry-distinct sites (fractional):
Cd (0.0000, 0.0000, 0.0000) [4 per cell]
In (0.0000, 0.0000, 0.5000) [4 per cell]
F (0.1996, 0.2500, 0.1250) [8 per cell]

Output
As for the excess energy over the best structure of this formula in the dataset: 13.2 kJ per mole of atoms.

---

Entry 2:
## Cd5In3F12 (PBE)

Data for Cd5In3F12 after structural relaxation.

a = 14.5304 Å, b = 14.5304 Å, c = 14.5304 Å
α = 90.00°, β = 90.00°, γ = 90.00°
Space group Ia-3d (No. 230)
Symmetry-distinct sites (fractional):
Cd (0.0000, 0.0000, 0.0000) [16 per cell]
Cd (0.0000, 0.2500, 0.3750) [24 per cell]
In (0.0000, 0.2500, 0.1250) [24 per cell]
F (0.0321, 0.0558, 0.6441) [96 per cell]

Output
The uncorrected energy comes out at -583.04 eV/cell.

---

M_tot values (in μB/f.u.) by entry order: 0.0; 0.0.